1.
Density functional theory data (PBE-GGA) for Nd4Sm3Ga4 after structural relaxation.

Output
Raw total energy: -4.52 eV per atom
Magnetization: 0.000 μB/f.u.
Space group: Immm (71)
DOS at the Fermi energy: 0.8550 states/eV per atom
Formation energy from the elements: -0.403 eV per atom

Cell: 3.641 9.172 10.491 Å, 115.92 99.99 90.00°
Fractional coordinates of all 11 atoms:
Nd  0.667  0.845  0.334
Nd  0.333  0.511  0.666
Nd  0.667  0.489  0.334
Nd  0.333  0.155  0.666
Ga  0.500  0.776  0.000
Ga  0.500  0.224  0.000
Ga  0.276  0.776  0.552
Ga  0.724  0.224  0.448
Sm  0.906  0.906  0.812
Sm  0.094  0.094  0.188
Sm  0.000  0.500  0.000



2.
Density functional theory data (PBE-GGA) for SrTcAg after structural relaxation.

Output
Raw total energy: -3.51 eV per atom
Magnetization: 3.015 μB/f.u.
Space group: F-43m (216)
DOS at the Fermi energy: 0.7758 states/eV per atom
Formation energy from the elements: 1.461 eV per atom
ΔE to the lowest computed polymorph: 1.229 eV/atom

Cell: 4.983 4.983 4.983 Å, 60.00 60.00 60.00°
Fractional coordinates of all 3 atoms:
Ag  0.500  0.500  0.500
Tc  0.000  0.000  0.000
Sr  0.750  0.750  0.750